A geometry-optimized Pr8P3Br4Cl structure. Source: the Alexandria database, functional GGA-PBE.

a = 8.3518 Å, b = 8.3518 Å, c = 22.1322 Å
α = 90.00°, β = 90.00°, γ = 120.00°
Space group R-3m (No. 166, hexagonal axes)
Symmetry-distinct sites (fractional):
Pr1 0.0000 0.0000 0.2344 [6 per cell]
Pr2 0.0045 0.5022 0.7661 [18 per cell]
P1 0.0000 0.5000 0.5000 [9 per cell]
Br1 0.0000 0.0000 0.0000 [3 per cell]
Br2 0.0000 0.5000 0.0000 [9 per cell]
Cl1 0.0000 0.0000 0.5000 [3 per cell]

Summary:
Uncorrected formation energy   -1.43 eV per atom
Electronic total energy   -5.3684 eV/atom



A geometry-optimized RbPBrCl2 structure. Source: the Alexandria database, functional GGA-PBE.

a = 6.073 Å, b = 6.073 Å, c = 9.210 Å
α = 90.00°, β = 90.00°, γ = 90.00°
Space group P4/mmm (No. 123)
Symmetry-distinct sites (fractional):
Rb1 0.000 0.000 0.000 [1 per cell]
P1 0.000 0.000 0.500 [1 per cell]
Br1 0.500 0.500 0.500 [1 per cell]
Cl1 0.000 0.500 0.000 [2 per cell]

Summary:
Uncorrected formation energy   0.44 eV per atom
Excess energy over the best structure of this formula in the dataset   596.8 meV/atom
Electronic total energy   -1.9125 eV/atom



A geometry-optimized RbPBrCl2 structure. Source: the Alexandria database, functional GGA-PBE.

a = 6.172 Å, b = 6.172 Å, c = 4.632 Å
α = 90.00°, β = 90.00°, γ = 90.00°
Space group P4/mmm (No. 123)
Symmetry-distinct sites (fractional):
Rb1 0.000 0.000 0.000 [1 per cell]
P1 0.500 0.500 0.000 [1 per cell]
Br1 0.500 0.500 0.500 [1 per cell]
Cl1 0.000 0.500 0.500 [2 per cell]

Summary:
Uncorrected formation energy   -0.16 eV per atom
Excess energy over the best structure of this formula in the dataset   0.0 meV/atom
Electronic total energy   -2.5093 eV/atom



A geometry-optimized Rb2PBr6Cl structure. Source: the Alexandria database, functional GGA-PBE.

a = 11.007 Å, b = 11.007 Å, c = 11.007 Å
α = 90.00°, β = 90.00°, γ = 90.00°
Space group Fm-3m (No. 225)
Symmetry-distinct sites (fractional):
Rb1 0.250 0.250 0.250 [8 per cell]
P1 0.000 0.000 0.000 [4 per cell]
Br1 0.000 0.000 0.221 [24 per cell]
Cl1 0.000 0.000 0.500 [4 per cell]

Summary:
Uncorrected formation energy   -0.81 eV per atom
Electronic total energy   -2.7367 eV/atom



A geometry-optimized Rb2PBrCl5 structure. Source: the Alexandria database, functional GGA-PBE.

a = 7.274 Å, b = 7.274 Å, c = 10.099 Å
α = 90.00°, β = 90.00°, γ = 90.00°
Space group I4mm (No. 107)
Symmetry-distinct sites (fractional):
Rb1 0.000 0.500 0.000 [4 per cell]
P1 0.000 0.000 0.249 [2 per cell]
Br1 0.000 0.000 0.498 [2 per cell]
Cl1 0.000 0.000 0.025 [2 per cell]
Cl2 0.224 0.224 0.249 [8 per cell]

Summary:
Uncorrected formation energy   -1.14 eV per atom
Electronic total energy   -3.1666 eV/atom



A geometry-optimized RePBrCl2 structure. Source: the Alexandria database, functional GGA-PBE.

a = 4.744 Å, b = 4.744 Å, c = 4.731 Å
α = 90.00°, β = 90.00°, γ = 90.00°
Space group P4/mmm (No. 123)
Symmetry-distinct sites (fractional):
Re1 0.000 0.000 0.000 [1 per cell]
P1 0.000 0.000 0.500 [1 per cell]
Br1 0.500 0.500 0.500 [1 per cell]
Cl1 0.000 0.500 0.000 [2 per cell]

Summary:
Uncorrected formation energy   0.27 eV per atom
Excess energy over the best structure of this formula in the dataset   0.0 meV/atom
Electronic total energy   -4.3747 eV/atom



A geometry-optimized RePBrCl2 structure. Source: the Alexandria database, functional GGA-PBE.

a = 5.001 Å, b = 5.001 Å, c = 5.283 Å
α = 90.00°, β = 90.00°, γ = 90.00°
Space group P4/mmm (No. 123)
Symmetry-distinct sites (fractional):
Re1 0.000 0.000 0.000 [1 per cell]
P1 0.500 0.500 0.000 [1 per cell]
Br1 0.500 0.500 0.500 [1 per cell]
Cl1 0.000 0.500 0.500 [2 per cell]

Summary:
Uncorrected formation energy   1.69 eV per atom
Excess energy over the best structure of this formula in the dataset   1420.2 meV/atom
Electronic total energy   -2.9546 eV/atom



A geometry-optimized PRhBr2Cl structure. Source: the Alexandria database, functional GGA-PBE.

a = 5.968 Å, b = 5.968 Å, c = 4.355 Å
α = 90.00°, β = 90.00°, γ = 90.00°
Space group P4/mmm (No. 123)
Symmetry-distinct sites (fractional):
P1 0.000 0.000 0.000 [1 per cell]
Rh1 0.500 0.500 0.000 [1 per cell]
Br1 0.000 0.500 0.500 [2 per cell]
Cl1 0.500 0.500 0.500 [1 per cell]

Summary:
Uncorrected formation energy   1.23 eV per atom
Electronic total energy   -2.3653 eV/atom



A geometry-optimized PRh2BrCl structure. Source: the Alexandria database, functional GGA-PBE.

a = 4.525 Å, b = 4.525 Å, c = 5.024 Å
α = 90.00°, β = 90.00°, γ = 90.00°
Space group P4/mmm (No. 123)
Symmetry-distinct sites (fractional):
P1 0.000 0.000 0.000 [1 per cell]
Rh1 0.000 0.500 0.000 [2 per cell]
Br1 0.000 0.000 0.500 [1 per cell]
Cl1 0.500 0.500 0.500 [1 per cell]

Summary:
Uncorrected formation energy   0.48 eV per atom
Excess energy over the best structure of this formula in the dataset   0.0 meV/atom
Electronic total energy   -4.2445 eV/atom



A geometry-optimized PRh2BrCl structure. Source: the Alexandria database, functional GGA-PBE.

a = 4.641 Å, b = 4.641 Å, c = 5.091 Å
α = 90.00°, β = 90.00°, γ = 90.00°
Space group P4/mmm (No. 123)
Symmetry-distinct sites (fractional):
P1 0.000 0.000 0.000 [1 per cell]
Rh1 0.000 0.500 0.500 [2 per cell]
Br1 0.500 0.500 0.500 [1 per cell]
Cl1 0.500 0.500 0.000 [1 per cell]

Summary:
Uncorrected formation energy   1.38 eV per atom
Excess energy over the best structure of this formula in the dataset   894.7 meV/atom
Electronic total energy   -3.3498 eV/atom



A geometry-optimized P2RuBrCl structure. Source: the Alexandria database, functional GGA-PBE.

a = 4.883 Å, b = 4.883 Å, c = 4.915 Å
α = 90.00°, β = 90.00°, γ = 90.00°
Space group P4/mmm (No. 123)
Symmetry-distinct sites (fractional):
P1 0.000 0.500 0.000 [2 per cell]
Ru1 0.000 0.000 0.500 [1 per cell]
Br1 0.500 0.500 0.000 [1 per cell]
Cl1 0.500 0.500 0.500 [1 per cell]

Summary:
Uncorrected formation energy   1.79 eV per atom
Excess energy over the best structure of this formula in the dataset   1451.1 meV/atom
Electronic total energy   -2.9346 eV/atom



A geometry-optimized P2RuBrCl structure. Source: the Alexandria database, functional GGA-PBE.

a = 4.597 Å, b = 4.597 Å, c = 4.895 Å
α = 90.00°, β = 90.00°, γ = 90.00°
Space group P4/mmm (No. 123)
Symmetry-distinct sites (fractional):
P1 0.000 0.500 0.000 [2 per cell]
Ru1 0.000 0.000 0.000 [1 per cell]
Br1 0.500 0.500 0.500 [1 per cell]
Cl1 0.000 0.000 0.500 [1 per cell]

Summary:
Uncorrected formation energy   0.34 eV per atom
Excess energy over the best structure of this formula in the dataset   0.0 meV/atom
Electronic total energy   -4.3856 eV/atom



A geometry-optimized PRuBrCl2 structure. Source: the Alexandria database, functional GGA-PBE.

a = 5.049 Å, b = 5.049 Å, c = 5.170 Å
α = 90.00°, β = 90.00°, γ = 90.00°
Space group P4/mmm (No. 123)
Symmetry-distinct sites (fractional):
P1 0.000 0.000 0.000 [1 per cell]
Ru1 0.500 0.500 0.000 [1 per cell]
Br1 0.000 0.000 0.500 [1 per cell]
Cl1 0.000 0.500 0.500 [2 per cell]

Summary:
Uncorrected formation energy   1.48 eV per atom
Excess energy over the best structure of this formula in the dataset   1263.1 meV/atom
Electronic total energy   -2.5341 eV/atom



A geometry-optimized PRuBrCl2 structure. Source: the Alexandria database, functional GGA-PBE.

a = 4.798 Å, b = 4.798 Å, c = 4.628 Å
α = 90.00°, β = 90.00°, γ = 90.00°
Space group P4/mmm (No. 123)
Symmetry-distinct sites (fractional):
P1 0.000 0.000 0.000 [1 per cell]
Ru1 0.000 0.000 0.500 [1 per cell]
Br1 0.500 0.500 0.000 [1 per cell]
Cl1 0.000 0.500 0.500 [2 per cell]

Summary:
Uncorrected formation energy   0.21 eV per atom
Excess energy over the best structure of this formula in the dataset   0.0 meV/atom
Electronic total energy   -3.7971 eV/atom



A geometry-optimized PSBrCl2 structure. Source: the Alexandria database, functional GGA-PBE.

a = 5.147 Å, b = 5.147 Å, c = 5.270 Å
α = 90.00°, β = 90.00°, γ = 90.00°
Space group P4/mmm (No. 123)
Symmetry-distinct sites (fractional):
P1 0.000 0.000 0.000 [1 per cell]
S1 0.500 0.500 0.000 [1 per cell]
Br1 0.000 0.000 0.500 [1 per cell]
Cl1 0.000 0.500 0.500 [2 per cell]

Summary:
Uncorrected formation energy   1.09 eV per atom
Excess energy over the best structure of this formula in the dataset   818.9 meV/atom
Electronic total energy   -1.8859 eV/atom



A geometry-optimized PSBrCl2 structure. Source: the Alexandria database, functional GGA-PBE.

a = 4.567 Å, b = 4.567 Å, c = 5.399 Å
α = 90.00°, β = 90.00°, γ = 90.00°
Space group P4/mmm (No. 123)
Symmetry-distinct sites (fractional):
P1 0.000 0.000 0.000 [1 per cell]
S1 0.000 0.000 0.500 [1 per cell]
Br1 0.500 0.500 0.000 [1 per cell]
Cl1 0.000 0.500 0.500 [2 per cell]

Summary:
Uncorrected formation energy   0.54 eV per atom
Excess energy over the best structure of this formula in the dataset   268.1 meV/atom
Electronic total energy   -2.4367 eV/atom



A geometry-optimized P2SBrCl structure. Source: the Alexandria database, functional GGA-PBE.

a = 4.904 Å, b = 4.904 Å, c = 4.534 Å
α = 90.00°, β = 90.00°, γ = 90.00°
Space group P4/mmm (No. 123)
Symmetry-distinct sites (fractional):
P1 0.000 0.500 0.000 [2 per cell]
S1 0.000 0.000 0.500 [1 per cell]
Br1 0.500 0.500 0.500 [1 per cell]
Cl1 0.000 0.000 0.000 [1 per cell]

Summary:
Uncorrected formation energy   1.42 eV per atom
Excess energy over the best structure of this formula in the dataset   556.0 meV/atom
Electronic total energy   -2.2711 eV/atom



A geometry-optimized PSBrCl2 structure. Source: the Alexandria database, functional GGA-PBE.

a = 4.575 Å, b = 4.575 Å, c = 5.276 Å
α = 90.00°, β = 90.00°, γ = 90.00°
Space group P4/mmm (No. 123)
Symmetry-distinct sites (fractional):
P1 0.000 0.000 0.000 [1 per cell]
S1 0.000 0.000 0.500 [1 per cell]
Br1 0.500 0.500 0.500 [1 per cell]
Cl1 0.000 0.500 0.000 [2 per cell]

Summary:
Uncorrected formation energy   0.28 eV per atom
Excess energy over the best structure of this formula in the dataset   0.0 meV/atom
Electronic total energy   -2.7048 eV/atom



A geometry-optimized P2SBrCl structure. Source: the Alexandria database, functional GGA-PBE.

a = 5.040 Å, b = 5.040 Å, c = 4.923 Å
α = 90.00°, β = 90.00°, γ = 90.00°
Space group P4/mmm (No. 123)
Symmetry-distinct sites (fractional):
P1 0.000 0.500 0.000 [2 per cell]
S1 0.000 0.000 0.500 [1 per cell]
Br1 0.500 0.500 0.000 [1 per cell]
Cl1 0.500 0.500 0.500 [1 per cell]

Summary:
Uncorrected formation energy   1.49 eV per atom
Excess energy over the best structure of this formula in the dataset   620.7 meV/atom
Electronic total energy   -2.2064 eV/atom



A geometry-optimized P2SBrCl structure. Source: the Alexandria database, functional GGA-PBE.

a = 4.741 Å, b = 4.741 Å, c = 4.829 Å
α = 90.00°, β = 90.00°, γ = 90.00°
Space group P4/mmm (No. 123)
Symmetry-distinct sites (fractional):
P1 0.000 0.500 0.000 [2 per cell]
S1 0.000 0.000 0.000 [1 per cell]
Br1 0.500 0.500 0.500 [1 per cell]
Cl1 0.000 0.000 0.500 [1 per cell]

Summary:
Uncorrected formation energy   0.87 eV per atom
Excess energy over the best structure of this formula in the dataset   0.0 meV/atom
Electronic total energy   -2.8271 eV/atom